## GdTlCoS3 (PBE-GGA)

Data for an optimized crystal structure of GdTlCoS3.

Properties
Electronic total energy in eV/atom: -5.42
Symmetry: No. 63

Geometry as extended XYZ:
```
12
Lattice="1.9646 -7.1076 0.0000 1.9646 7.1076 0.0000 0.0000 0.0000 10.5420" Properties=species:S:1:pos:R:3 pbc="T T T"
Gd 0.0000 0.0000 0.0000
Gd 0.0000 0.0000 5.2710
Tl 1.9646 3.5319 7.9065
Tl 1.9646 -3.5319 2.6355
Co 1.9646 0.4432 2.6355
Co 1.9646 -0.4432 7.9065
S 1.9646 6.2633 2.6355
S 1.9646 1.7529 0.7944
S 1.9646 1.7529 4.4766
S 1.9646 -1.7529 6.0653
S 1.9646 -1.7529 9.7476
S 1.9646 -6.2633 7.9065
```

---

## BeIr2 (PBE-GGA)

Data for an optimized crystal structure of BeIr2.

Properties
Electronic total energy in eV/atom: -4.45
Symmetry: No. 227

Geometry as extended XYZ:
```
6
Lattice="0.0000 4.6338 4.6338 4.6338 0.0000 4.6338 4.6338 4.6338 0.0000" Properties=species:S:1:pos:R:3 pbc="T T T"
Be 1.1585 1.1585 1.1585
Be 8.1092 8.1092 8.1092
Ir 0.0000 0.0000 0.0000
Ir 2.3169 2.3169 0.0000
Ir 2.3169 0.0000 2.3169
Ir 0.0000 2.3169 2.3169
```

---

## LuCdCuSi (PBE-GGA)

Data for an optimized crystal structure of LuCdCuSi.

Properties
Electronic total energy in eV/atom: -3.71
Symmetry: No. 216

Geometry as extended XYZ:
```
4
Lattice="0.0000 3.3265 3.3265 3.3265 0.0000 3.3265 3.3265 3.3265 0.0000" Properties=species:S:1:pos:R:3 pbc="T T T"
Lu 0.0000 0.0000 0.0000
Cd 4.9898 4.9898 4.9898
Cu 3.3265 3.3265 3.3265
Si 1.6633 1.6633 1.6633
```

---

## BePOsO (PBE-GGA)

Data for an optimized crystal structure of BePOsO.

Properties
Electronic total energy in eV/atom: -6.93
Symmetry: No. 26

Geometry as extended XYZ:
```
8
Lattice="4.1539 0.0000 0.0000 0.0000 5.1268 0.0000 0.0000 0.0000 4.5854" Properties=species:S:1:pos:R:3 pbc="T T T"
Be 0.0000 0.7175 0.0000
Be 0.0000 4.4092 2.2927
P 2.0769 1.7333 3.9016
P 2.0769 3.3935 1.6089
Os 2.0769 1.0735 1.6488
Os 2.0769 4.0533 3.9415
O 0.0000 0.6726 1.5560
O 0.0000 4.4542 3.8487
```

---

## AgAsPb (PBE-GGA)

Data for an optimized crystal structure of AgAsPb.

Properties
Electronic total energy in eV/atom: -3.70
Symmetry: No. 194

Geometry as extended XYZ:
```
6
Lattice="4.5289 0.0000 0.0000 -2.2645 3.9222 0.0000 0.0000 0.0000 8.1679" Properties=species:S:1:pos:R:3 pbc="T T T"
Ag 0.0000 2.6148 2.0420
Ag 2.2645 1.3074 6.1259
As 0.0000 2.6148 6.1259
As 2.2645 1.3074 2.0420
Pb 0.0000 0.0000 0.0000
Pb 0.0000 0.0000 4.0840
```

---

## KNdAu3S4 (PBE-GGA)

Data for an optimized crystal structure of KNdAu3S4.

Properties
Electronic total energy in eV/atom: -4.06
Symmetry: No. 215

Geometry as extended XYZ:
```
9
Lattice="6.3863 0.0000 0.0000 0.0000 6.3863 0.0000 0.0000 0.0000 6.3863" Properties=species:S:1:pos:R:3 pbc="T T T"
K 0.0000 0.0000 0.0000
Nd 3.1932 3.1932 3.1932
Au 0.0000 3.1932 3.1932
Au 3.1932 0.0000 3.1932
Au 3.1932 3.1932 0.0000
S 1.6845 1.6845 1.6845
S 1.6845 4.7018 4.7018
S 4.7018 1.6845 4.7018
S 4.7018 4.7018 1.6845
```

---

## Pm5GaSi2 (PBE-GGA)

Data for an optimized crystal structure of Pm5GaSi2.

Properties
Electronic total energy in eV/atom: -5.27
Symmetry: No. 140

Geometry as extended XYZ:
```
16
Lattice="-3.8812 3.8812 7.0922 3.8812 -3.8812 7.0922 3.8812 3.8812 -7.0922" Properties=species:S:1:pos:R:3 pbc="T T T"
Pm 0.0000 0.0000 0.0000
Pm 5.2593 1.3780 -2.0298
Pm 1.3780 2.5032 -2.0298
Pm 5.2593 1.3780 2.0298
Pm 1.3780 2.5032 2.0298
Pm 0.0000 0.0000 7.0922
Pm 2.5032 1.3780 5.0624
Pm -1.3780 2.5032 5.0624
Pm 2.5032 1.3780 9.1219
Pm -1.3780 2.5032 9.1219
Ga 0.0000 0.0000 3.5461
Ga 0.0000 0.0000 10.6382
Si 2.9810 0.9002 0.0000
Si 2.9810 -0.9002 7.0922
Si 0.9002 4.7814 0.0000
Si 0.9002 2.9810 7.0922
```

---

## Zr3BiCN (PBE-GGA)

Data for an optimized crystal structure of Zr3BiCN.

Properties
Electronic total energy in eV/atom: -8.80
Symmetry: No. 164

Geometry as extended XYZ:
```
12
Lattice="3.3901 0.0000 0.0000 -1.6951 2.9359 0.0000 0.0000 0.0000 19.9720" Properties=species:S:1:pos:R:3 pbc="T T T"
Zr 0.0000 0.0000 0.0000
Zr 0.0000 0.0000 9.9860
Zr 0.0000 1.9573 2.4932
Zr 0.0000 1.9573 7.4331
Zr 1.6951 0.9786 12.5390
Zr 1.6951 0.9786 17.4789
Bi 0.0000 0.0000 4.9489
Bi 0.0000 0.0000 15.0232
C 0.0000 1.9573 11.3801
C 1.6951 0.9786 8.5920
N 0.0000 1.9573 18.6651
N 1.6951 0.9786 1.3070
```

---

## LiLuCuPb (PBE-GGA)

Data for an optimized crystal structure of LiLuCuPb.

Properties
Electronic total energy in eV/atom: -3.65
Symmetry: No. 216

Geometry as extended XYZ:
```
4
Lattice="0.0000 3.3514 3.3514 3.3514 0.0000 3.3514 3.3514 3.3514 0.0000" Properties=species:S:1:pos:R:3 pbc="T T T"
Li 0.0000 0.0000 0.0000
Lu 5.0271 5.0271 5.0271
Cu 3.3514 3.3514 3.3514
Pb 1.6757 1.6757 1.6757
```

---

## TbHoGe (PBE-GGA)

Data for an optimized crystal structure of TbHoGe.

Properties
Electronic total energy in eV/atom: -5.14
Symmetry: No. 194

Geometry as extended XYZ:
```
6
Lattice="5.1346 0.0000 0.0000 -2.5673 4.4467 0.0000 0.0000 0.0000 6.3452" Properties=species:S:1:pos:R:3 pbc="T T T"
Tb 0.0000 0.0000 0.0000
Tb 0.0000 0.0000 3.1726
Ho 0.0000 2.9645 1.5863
Ho 2.5673 1.4822 4.7589
Ge 0.0000 2.9645 4.7589
Ge 2.5673 1.4822 1.5863
```

---

## CuAg3 (PBE-GGA)

Data for an optimized crystal structure of CuAg3.

Properties
Electronic total energy in eV/atom: -2.98
Symmetry: No. 166

Geometry as extended XYZ:
```
8
Lattice="1.4359 0.8290 18.6528 -1.4359 0.8290 18.6528 0.0000 -1.6580 18.6528" Properties=species:S:1:pos:R:3 pbc="T T T"
Cu 0.0000 0.0000 7.1043
Cu 0.0000 0.0000 48.8540
Ag 0.0000 0.0000 0.0000
Ag 0.0000 0.0000 13.7558
Ag 0.0000 0.0000 21.0917
Ag 0.0000 0.0000 27.9791
Ag 0.0000 0.0000 34.8666
Ag 0.0000 0.0000 42.2025
```